Run w
Here is a geometry-optimized Sr2FeHg structure from the Alexandria database. Energies are from PBE.

The structure in extended XYZ format:
```
4
Lattice="-3.3619 5.4694 -5.3236 -4.1078 1.3380 -7.1340 -6.8284 2.9019 -3.8092" Properties=species:S:1:pos:R:3 pbc="T T T"
Fe -6.5470 4.4458 -7.4485
Hg -11.3236 7.6894 -12.8828
Sr -0.5188 0.3523 -0.5902
Sr -3.0576 2.0763 -3.4786
```

---

Run x
Here is a geometry-optimized Sr2FeHg structure from the Alexandria database. Energies are from PBE.

The structure in extended XYZ format:
```
4
Lattice="3.7518 0.0000 0.0000 0.0000 3.7519 0.0000 0.0000 0.0000 8.8477" Properties=species:S:1:pos:R:3 pbc="T T T"
Fe 0.0000 0.0000 4.9805
Sr 0.0000 0.0000 8.2058
Sr 1.8759 1.8760 2.8593
Hg 1.8759 1.8760 6.0735
```

---

Run y
Here is a geometry-optimized Sr2FeHg structure from the Alexandria database. Energies are from PBE.

The structure in extended XYZ format:
```
8
Lattice="-2.6856 6.3975 -4.9495 -7.6672 -0.3521 3.7051 -4.0913 5.3894 1.8481" Properties=species:S:1:pos:R:3 pbc="T T T"
Fe -5.1764 3.0227 -0.6222
Fe -8.4675 4.0300 2.4655
Hg 0.0000 0.0000 0.0000
Hg -5.9766 7.4048 -1.8617
Sr -7.0755 6.3033 0.9797
Sr -3.6160 5.1977 -2.0877
Sr -12.0025 9.3375 0.2370
Sr -6.1942 2.0310 2.0785
```

---

Relative calculated energies, zero for the most stable structure, unit kJ/mol of atoms: run w 0.0; run x 12.6; run y 35.0.